Density functional theory data (GGA-PBE) for crystalline LaCdTc at its relaxed geometry.

Properties
- Total moment: 0.89 μB/f.u.
- DFT formation energy: 0.542 eV/atom
- Density of states at the Fermi level: 1.148 states/eV/atom
- Polymorph energy (0 for the lowest one): 596.5 meV per atom

Unit cell a=3.0570 b=3.0570 c=8.0753 alpha=90.00 beta=90.00 gamma=120.00
Last column: nearest neighbours and their distance in Å.
Fractional coordinates of all 3 atoms:
La  0.0000  0.0000  0.0000  6 La 3.06, 3 Tc 3.16
Cd  0.6667  0.3333  0.6147  3 Tc 2.93, 6 Cd 3.06
Tc  0.3333  0.6667  0.3243  3 Cd 2.93, 6 Tc 3.06, 3 La 3.16

***

Density functional theory data (GGA-PBE) for crystalline BSb2TeH at its relaxed geometry.

Properties
- Total moment: 0.00 μB/f.u.
- Density of states at the Fermi level: 0.597 states/eV/atom
- Polymorph energy (0 for the lowest one): 64.6 meV per atom

Unit cell a=4.3678 b=4.3678 c=5.3281 alpha=90.00 beta=90.00 gamma=90.00
Last column: nearest neighbours and their distance in Å.
Fractional coordinates of all 5 atoms:
B  0.0000  0.0000  0.0000  4 Te 3.09, 8 Sb 3.44
Sb  0.0000  0.5000  0.5000  2 H 2.18
Sb  0.5000  0.0000  0.5000  2 H 2.18
Te  0.5000  0.5000  0.0000  2 H 2.66
H  0.5000  0.5000  0.5000  4 Sb 2.18